P:
An optimized crystal structure of CePr2Pd. Source: Alexandria via LeMat-Bulk, functional PBE.

## Properties
The crystal system is tetragonal.

Cell lengths 5.490, 5.490, 3.549 Å; angles 90.00, 90.00, 90.00 degrees
Space group P4/mmm (No. 123)
Unique sites:
Ce1 0.000 0.000 0.000 (multiplicity 1)
Pr1 0.000 0.500 0.500 (multiplicity 2)
Pd1 0.500 0.500 0.000 (multiplicity 1)


Q:
An optimized crystal structure of CePr2Pd. Source: Alexandria via LeMat-Bulk, functional PBE.

## Properties
The crystal system is trigonal.

Cell lengths 3.6431, 3.6431, 32.7108 Å; angles 90.00, 90.00, 120.00 degrees
Space group R-3m (No. 166, hexagonal axes)
Unique sites:
Ce1 0.0000 0.0000 0.0000 (multiplicity 3)
Pr1 0.0000 0.0000 0.1038 (multiplicity 6)
Pd1 0.0000 0.0000 0.5000 (multiplicity 3)


Which structure wins on stability? P wins.


P:
An optimized crystal structure of CePr2Pd. Source: Alexandria via LeMat-Bulk, functional PBE.

## Properties
The crystal system is tetragonal.

Cell lengths 3.656, 3.656, 8.372 Å; angles 90.00, 90.00, 90.00 degrees
Space group P4/mmm (No. 123)
Unique sites:
Ce1 0.000 0.000 0.000 (multiplicity 1)
Pr1 0.500 0.500 0.287 (multiplicity 2)
Pd1 0.000 0.000 0.500 (multiplicity 1)


Q:
An optimized crystal structure of CePr2Pd. Source: Alexandria via LeMat-Bulk, functional PBE.

## Properties
The crystal system is trigonal.

Cell lengths 3.8438, 3.8438, 29.4075 Å; angles 90.00, 90.00, 120.00 degrees
Space group R3m (No. 160, hexagonal axes)
Unique sites:
Ce1 0.0000 0.0000 0.0000 (multiplicity 3)
Pr1 0.0000 0.0000 0.5663 (multiplicity 3)
Pr2 0.0000 0.0000 0.7677 (multiplicity 3)
Pd1 0.0000 0.0000 0.1669 (multiplicity 3)


Which structure wins on stability? P wins.


P:
An optimized crystal structure of CePrPd. Source: Alexandria via LeMat-Bulk, functional PBE.

## Properties
The crystal system is tetragonal.

Cell lengths 3.723, 3.723, 11.221 Å; angles 90.00, 90.00, 90.00 degrees
Space group I4mm (No. 107)
Unique sites:
Ce1 0.000 0.000 0.000 (multiplicity 2)
Pr1 0.000 0.000 0.703 (multiplicity 2)
Pd1 0.000 0.000 0.375 (multiplicity 2)


Q:
An optimized crystal structure of CePrPd. Source: Alexandria via LeMat-Bulk, functional PBE.

## Properties
The crystal system is monoclinic.

Cell lengths 12.030, 4.341, 7.044 Å; angles 90.00, 121.00, 90.00 degrees
Space group Cm (No. 8)
Unique sites:
Ce1 0.000 0.000 0.000 (multiplicity 2)
Ce2 0.108 0.500 0.892 (multiplicity 2)
Pr1 0.244 0.000 0.603 (multiplicity 2)
Pr2 0.395 0.500 0.411 (multiplicity 2)
Pd1 0.070 0.500 0.331 (multiplicity 2)
Pd2 0.294 0.000 0.065 (multiplicity 2)


R:
An optimized crystal structure of CePrPd. Source: Alexandria via LeMat-Bulk, functional PBE.

## Properties
The crystal system is trigonal.

Cell lengths 4.7952, 4.7952, 3.8251 Å; angles 90.00, 90.00, 120.00 degrees
Space group P3m1 (No. 156)
Unique sites:
Ce1 0.0000 0.0000 0.0000 (multiplicity 1)
Pr1 0.6667 0.3333 0.3721 (multiplicity 1)
Pd1 0.3333 0.6667 0.7228 (multiplicity 1)


Which structure wins on stability? Q wins.


P:
An optimized crystal structure of CePrPdPt. Source: Alexandria via LeMat-Bulk, functional PBE.

## Properties
The crystal system is cubic.

Cell lengths 7.217, 7.217, 7.217 Å; angles 90.00, 90.00, 90.00 degrees
Space group F-43m (No. 216)
Unique sites:
Ce1 0.000 0.000 0.000 (multiplicity 4)
Pr1 0.000 0.000 0.500 (multiplicity 4)
Pd1 0.250 0.250 0.750 (multiplicity 4)
Pt1 0.250 0.250 0.250 (multiplicity 4)


Q:
An optimized crystal structure of CePrPdPt. Source: Alexandria via LeMat-Bulk, functional PBE.

## Properties
The crystal system is orthorhombic.

Cell lengths 4.624, 3.883, 10.868 Å; angles 90.00, 90.00, 90.00 degrees
Space group Amm2 (No. 38)
Unique sites:
Ce1 0.000 0.000 0.000 (multiplicity 2)
Pr1 0.500 0.000 0.272 (multiplicity 2)
Pd1 0.500 0.000 0.545 (multiplicity 2)
Pt1 0.000 0.000 0.722 (multiplicity 2)


Which structure wins on stability? Q wins.


P:
An optimized crystal structure of CePd2Pt2. Source: Alexandria via LeMat-Bulk, functional PBE.

## Properties
The crystal system is hexagonal.

Cell lengths 4.7506, 4.7506, 10.6769 Å; angles 90.00, 90.00, 120.00 degrees
Space group P6_3/mmc (No. 194)
Unique sites:
Ce1 0.0000 0.0000 0.2500 (multiplicity 2)
Pd1 0.3333 0.6667 0.0027 (multiplicity 4)
Pt1 0.0000 0.0000 0.0000 (multiplicity 2)
Pt2 0.3333 0.6667 0.7500 (multiplicity 2)


Q:
An optimized crystal structure of CePd2Pt2. Source: Alexandria via LeMat-Bulk, functional PBE.

## Properties
The crystal system is trigonal.

Cell lengths 4.6647, 4.6647, 5.3618 Å; angles 90.00, 90.00, 120.00 degrees
Space group P-3m1 (No. 164)
Unique sites:
Ce1 0.0000 0.0000 0.0000 (multiplicity 1)
Pd1 0.3333 0.6667 0.3558 (multiplicity 2)
Pt1 0.3333 0.6667 0.8449 (multiplicity 2)


Which structure wins on stability? Q wins.


P:
An optimized crystal structure of CePdPt. Source: Alexandria via LeMat-Bulk, functional PBE.

## Properties
The crystal system is monoclinic.

Cell lengths 10.277, 3.929, 7.290 Å; angles 90.00, 122.81, 90.00 degrees
Space group C2/m (No. 12)
Unique sites:
Ce1 0.050 0.000 0.292 (multiplicity 4)
Pd1 0.157 0.500 0.046 (multiplicity 4)
Pt1 0.157 0.500 0.656 (multiplicity 4)


Q:
An optimized crystal structure of CePdPt. Source: Alexandria via LeMat-Bulk, functional PBE.

## Properties
The crystal system is tetragonal.

Cell lengths 5.405, 5.405, 8.583 Å; angles 90.00, 90.00, 90.00 degrees
Space group I4_1md (No. 109)
Unique sites:
Ce1 0.000 0.000 0.000 (multiplicity 4)
Pd1 0.000 0.000 0.349 (multiplicity 4)
Pt1 0.000 0.000 0.665 (multiplicity 4)


Which structure wins on stability? P wins.


P:
An optimized crystal structure of CePdPt. Source: Alexandria via LeMat-Bulk, functional PBE.

## Properties
The crystal system is orthorhombic.

Cell lengths 3.962, 13.755, 4.352 Å; angles 90.00, 90.00, 90.00 degrees
Space group Cmcm (No. 63)
Unique sites:
Ce1 0.000 0.099 0.250 (multiplicity 4)
Pd1 0.000 0.245 0.750 (multiplicity 4)
Pt1 0.000 0.418 0.250 (multiplicity 4)


Q:
An optimized crystal structure of CePdPt. Source: Alexandria via LeMat-Bulk, functional PBE.

## Properties
The crystal system is hexagonal.

Cell lengths 4.5652, 4.5652, 3.5098 Å; angles 90.00, 90.00, 120.00 degrees
Space group P-6m2 (No. 187)
Unique sites:
Ce1 0.0000 0.0000 0.0000 (multiplicity 1)
Pd1 0.6667 0.3333 0.5000 (multiplicity 1)
Pt1 0.3333 0.6667 0.5000 (multiplicity 1)


Which structure wins on stability? P wins.


P:
An optimized crystal structure of CePd3Pt2. Source: Alexandria via LeMat-Bulk, functional PBE.

## Properties
The crystal system is orthorhombic.

Cell lengths 5.695, 14.100, 5.344 Å; angles 90.00, 90.00, 90.00 degrees
Space group Cmcm (No. 63)
Unique sites:
Ce1 0.000 0.155 0.250 (multiplicity 4)
Pd1 0.000 0.343 0.750 (multiplicity 4)
Pd2 0.250 0.173 0.750 (multiplicity 8)
Pt1 0.241 0.500 0.000 (multiplicity 8)


Q:
An optimized crystal structure of CePd3Pt2. Source: Alexandria via LeMat-Bulk, functional PBE.

## Properties
The crystal system is trigonal.

Cell lengths 5.7339, 5.7339, 21.5957 Å; angles 90.00, 90.00, 120.00 degrees
Space group R-3m (No. 166, hexagonal axes)
Unique sites:
Ce1 0.0000 0.0000 0.2228 (multiplicity 6)
Pd1 0.0037 0.5019 0.2231 (multiplicity 18)
Pt1 0.0000 0.0000 0.0000 (multiplicity 3)
Pt2 0.0000 0.5000 0.0000 (multiplicity 9)


Which structure wins on stability? Q wins.


P:
An optimized crystal structure of CePd5Pt. Source: Alexandria via LeMat-Bulk, functional PBE.

## Properties
The crystal system is monoclinic.

Cell lengths 11.340, 7.787, 5.582 Å; angles 90.00, 100.46, 90.00 degrees
Space group C2/c (No. 15)
Unique sites:
Ce1 0.000 0.226 0.250 (multiplicity 4)
Pd1 0.000 0.152 0.750 (multiplicity 4)
Pd2 0.110 0.460 0.653 (multiplicity 8)
Pd3 0.189 0.088 0.537 (multiplicity 8)
Pt1 0.250 0.250 0.000 (multiplicity 4)


Q:
An optimized crystal structure of CePd5Pt. Source: Alexandria via LeMat-Bulk, functional PBE.

## Properties
The crystal system is orthorhombic.

Cell lengths 5.101, 5.405, 9.271 Å; angles 90.00, 90.00, 90.00 degrees
Space group Imm2 (No. 44)
Unique sites:
Ce1 0.000 0.000 0.000 (multiplicity 2)
Pd1 0.000 0.000 0.734 (multiplicity 2)
Pd2 0.000 0.254 0.248 (multiplicity 4)
Pd3 0.249 0.500 0.980 (multiplicity 4)
Pt1 0.000 0.500 0.707 (multiplicity 2)


Which structure wins on stability? P wins.


P:
An optimized crystal structure of CePd8Pt2. Source: Alexandria via LeMat-Bulk, functional PBE.

## Properties
The crystal system is monoclinic.

Cell lengths 13.231, 5.389, 5.431 Å; angles 90.00, 102.64, 90.00 degrees
Space group C2/m (No. 12)
Unique sites:
Ce1 0.000 0.000 0.000 (multiplicity 2)
Pd1 0.081 0.500 0.195 (multiplicity 4)
Pd2 0.092 0.254 0.667 (multiplicity 8)
Pd3 0.245 0.000 0.989 (multiplicity 4)
Pt1 0.234 0.000 0.468 (multiplicity 4)


Q:
An optimized crystal structure of CePd8Pt2. Source: Alexandria via LeMat-Bulk, functional PBE.

## Properties
The crystal system is monoclinic.

Cell lengths 14.501, 4.067, 6.278 Å; angles 90.00, 104.33, 90.00 degrees
Space group C2/m (No. 12)
Unique sites:
Ce1 0.000 0.000 0.000 (multiplicity 2)
Pd1 0.049 0.500 0.725 (multiplicity 4)
Pd2 0.092 0.000 0.457 (multiplicity 4)
Pd3 0.137 0.500 0.188 (multiplicity 4)
Pd4 0.185 0.000 0.911 (multiplicity 4)
Pt1 0.229 0.500 0.635 (multiplicity 4)


Which structure wins on stability? Q wins.


P:
An optimized crystal structure of CePdPt4. Source: Alexandria via LeMat-Bulk, functional PBE.

## Properties
The crystal system is hexagonal.

Cell lengths 5.3816, 5.3816, 4.4615 Å; angles 90.00, 90.00, 120.00 degrees
Space group P-6m2 (No. 187)
Unique sites:
Ce1 0.0000 0.0000 0.0000 (multiplicity 1)
Pd1 0.6667 0.3333 0.0000 (multiplicity 1)
Pt1 0.3333 0.6667 0.0000 (multiplicity 1)
Pt2 0.5003 0.0006 0.5000 (multiplicity 3)


Q:
An optimized crystal structure of CePdPt4. Source: Alexandria via LeMat-Bulk, functional PBE.

## Properties
The crystal system is cubic.

Cell lengths 7.566, 7.566, 7.566 Å; angles 90.00, 90.00, 90.00 degrees
Space group F-43m (No. 216)
Unique sites:
Ce1 0.000 0.000 0.000 (multiplicity 4)
Pd1 0.250 0.250 0.750 (multiplicity 4)
Pt1 0.125 0.125 0.375 (multiplicity 16)


Which structure wins on stability? Q wins.


P:
An optimized crystal structure of CePuPdPt. Source: Alexandria via LeMat-Bulk, functional PBE.

## Properties
The crystal system is cubic.

Cell lengths 7.086, 7.086, 7.086 Å; angles 90.00, 90.00, 90.00 degrees
Space group F-43m (No. 216)
Unique sites:
Ce1 0.000 0.000 0.000 (multiplicity 4)
Pu1 0.000 0.000 0.500 (multiplicity 4)
Pd1 0.250 0.250 0.750 (multiplicity 4)
Pt1 0.250 0.250 0.250 (multiplicity 4)


Q:
An optimized crystal structure of CePuPdPt. Source: Alexandria via LeMat-Bulk, functional PBE.

## Properties
The crystal system is cubic.

Cell lengths 6.789, 6.789, 6.789 Å; angles 90.00, 90.00, 90.00 degrees
Space group F-43m (No. 216)
Unique sites:
Ce1 0.000 0.000 0.000 (multiplicity 4)
Pu1 0.250 0.250 0.250 (multiplicity 4)
Pd1 0.000 0.000 0.500 (multiplicity 4)
Pt1 0.250 0.250 0.750 (multiplicity 4)


Which structure wins on stability? Q wins.